# ErCr8C6 (PBE-GGA, optimized geometry)
data_ErCr8C6
_space_group_name_H-M_alt 'P 63 c m'
_space_group_IT_number 185
_space_group_name_Hall 'P 6c -2'
_cell_length_a 5.9745
_cell_length_b 5.9745
_cell_length_c 10.7292
_cell_angle_alpha 90.00
_cell_angle_beta 90.00
_cell_angle_gamma 120.00
loop_
_atom_site_label
_atom_site_type_symbol
_atom_site_fract_x
_atom_site_fract_y
_atom_site_fract_z
_atom_site_occupancy
Er1 Er 0.0000 0.0000 0.0000 1
Cr1 Cr 0.0000 0.3064 0.2689 1
Cr2 Cr 0.0000 0.4358 0.6283 1
Cr3 Cr 0.3333 0.6667 0.4249 1
C1 C 0.0000 0.0000 0.2304 1
C2 C 0.0000 0.3812 0.4487 1
C3 C 0.3333 0.6667 0.2359 1
# Total magnetic moment in μB per formula unit: 0.01
# ΔH_f (0 K) in eV/atom: 0.11